# 1
An optimized crystal structure of LaPm5Tm4. Source: Alexandria, functional GGA-PBE.

a = 3.6058 Å, b = 10.1555 Å, c = 9.4899 Å
α = 106.14°, β = 100.90°, γ = 89.99°
With the nearest neighbours (Å) after each atom.
Fractional coordinates of all 10 atoms:
La1 0.5000 0.0000 0.0000  6 Tm 3.58, 2 La 3.61, 4 Pm 3.62
Pm1 0.7000 0.5996 0.4002  5 Tm 3.54-3.58, 7 Pm 3.58-3.61
Pm2 0.1020 0.8026 0.2046  4 Tm 3.53-3.65, 6 Pm 3.60-3.61, 2 La 3.62
Pm3 0.8980 0.1974 0.7954  4 Tm 3.53-3.65, 6 Pm 3.60-3.61, 2 La 3.62
Pm4 0.5000 0.5000 0.0000  8 Pm 3.58-3.61, 4 Tm 3.63
Pm5 0.3000 0.4004 0.5998  5 Tm 3.54-3.58, 7 Pm 3.58-3.61
Tm1 0.7001 0.1005 0.4006  5 Pm 3.53-3.58, 1 La 3.58, 6 Tm 3.58-3.61
Tm2 0.1015 0.2998 0.2034  6 Pm 3.54-3.65, 4 Tm 3.58-3.61, 2 La 3.58
Tm3 0.2999 0.8995 0.5994  5 Pm 3.53-3.58, 1 La 3.58, 6 Tm 3.58-3.61
Tm4 0.8985 0.7002 0.7966  6 Pm 3.54-3.65, 4 Tm 3.58-3.61, 2 La 3.58

Computed properties:
**Formation enthalpy at 0 K**: 0.0197 eV per atom
**Energy above the lowest structure with this stoichiometry**: 0 meV/atom
**Magnetization**: 0.00 μB/f.u.

# 2
An optimized crystal structure of Cs2KGaCl6. Source: Alexandria, functional GGA-PBE.

a = 7.6930 Å, b = 7.6930 Å, c = 7.6930 Å
α = 60.00°, β = 60.00°, γ = 60.00°
With the nearest neighbours (Å) after each atom.
Fractional coordinates of all 10 atoms:
Cs1 0.2500 0.2500 0.2500  12 Cl 3.86
Cs2 0.7500 0.7500 0.7500  12 Cl 3.86
K1 0.0000 0.0000 0.0000  6 Cl 3.04
Ga1 0.5000 0.5000 0.5000  6 Cl 2.40
Cl1 0.2790 0.7210 0.7210  1 Ga 2.40
Cl2 0.7210 0.2790 0.7210  1 Ga 2.40
Cl3 0.2790 0.7210 0.2790  1 Ga 2.40
Cl4 0.2790 0.2790 0.7210  1 Ga 2.40
Cl5 0.7210 0.7210 0.2790  1 Ga 2.40
Cl6 0.7210 0.2790 0.2790  1 Ga 2.40

Computed properties:
**E_form (uncorrected)**: -1.657 eV per atom
**Magnetization**: 0.00 μB/f.u.

# 3
An optimized crystal structure of SrRhOF2. Source: Alexandria, functional GGA-PBE.

a = 4.5680 Å, b = 4.5680 Å, c = 4.7859 Å
α = 90.00°, β = 90.00°, γ = 90.00°
With the nearest neighbours (Å) after each atom.
Fractional coordinates of all 5 atoms:
Sr1 0.0000 0.0000 0.0000  4 F 2.28, 2 O 2.39
Rh1 0.5000 0.5000 0.5000  4 O 3.23, 8 F 3.31
O1 0.0000 0.0000 0.5000  2 Sr 2.39
F1 0.0000 0.5000 0.0000  2 Sr 2.28
F2 0.5000 0.0000 0.0000  2 Sr 2.28

Computed properties:
**Energy above the lowest structure with this stoichiometry**: 765 meV/atom
**E_form (uncorrected)**: -1.085 eV per atom
**Magnetization**: 2.17 μB/f.u.

# 4
An optimized crystal structure of TmGe2Pd7. Source: Alexandria, functional GGA-PBE.

a = 4.0841 Å, b = 4.0841 Å, c = 10.5765 Å
α = 101.13°, β = 101.13°, γ = 90.00°
With the nearest neighbours (Å) after each atom.
Fractional coordinates of all 10 atoms:
Tm1 0.0000 0.0000 0.0000  12 Pd 2.89-2.92
Ge1 0.6741 0.6741 0.3482  8 Pd 2.50-2.56
Ge2 0.3259 0.3259 0.6518  8 Pd 2.50-2.56
Pd1 0.1029 0.6029 0.2058  2 Ge 2.50
Pd2 0.3971 0.8971 0.7942  2 Ge 2.50
Pd3 0.6029 0.1029 0.2058  2 Ge 2.50
Pd4 0.5000 0.5000 0.0000  4 Tm 2.89, 8 Pd 2.92
Pd5 0.7500 0.2500 0.5000  4 Ge 2.56
Pd6 0.8971 0.3971 0.7942  2 Ge 2.50
Pd7 0.2500 0.7500 0.5000  4 Ge 2.56

Computed properties:
**Formation enthalpy at 0 K**: -0.6649 eV per atom
**Energy above the lowest structure with this stoichiometry**: 0 meV/atom
**Magnetization**: 0.00 μB/f.u.